No. 1
DFT (PBE) results for Cs2SmAg2Se4 after structural relaxation.

## Properties
formation energy from raw total energies: -1021 meV per atom
ρ: 5.6 g/cm3
N(E_F): 5.279 states/eV per cell

Lattice parameters (Å, degrees): 8.265 8.265 8.637 107.17 107.17 30.07
Positions (direct):
Cs (0.132, 0.132, 0.062)
Cs (0.868, 0.868, 0.938)
Sm (0.000, 0.000, 0.500)
Ag (0.321, 0.321, 0.518)
Ag (0.679, 0.679, 0.482)
Se (0.195, 0.195, 0.676)
Se (0.485, 0.485, 0.726)
Se (0.515, 0.515, 0.274)
Se (0.805, 0.805, 0.324)

***

No. 2
DFT (PBE) results for CsSmAgSe2 after structural relaxation.

## Properties
formation energy from raw total energies: -1061 meV per atom
ρ: 5.2 g/cm3
N(E_F): 1.510 states/eV per cell

Lattice parameters (Å, degrees): 8.358 5.053 8.368 90.00 96.57 90.00
Positions (direct):
Cs (0.000, 0.107, 0.250)
Cs (0.000, 0.893, 0.750)
Sm (0.500, 0.496, 0.750)
Sm (0.500, 0.504, 0.250)
Ag (0.500, 0.000, 0.000)
Ag (0.500, 0.000, 0.500)
Se (0.271, 0.386, 0.975)
Se (0.271, 0.614, 0.475)
Se (0.729, 0.386, 0.525)
Se (0.729, 0.614, 0.025)

***

No. 3
DFT (PBE) results for CsSmAgSe3 after structural relaxation.

## Properties
formation energy from raw total energies: -1134 meV per atom
ρ: 5.4 g/cm3
N(E_F): 14.719 states/eV per cell

Lattice parameters (Å, degrees): 8.490 8.490 11.080 90.00 90.00 150.99
Positions (direct):
Cs (0.246, 0.754, 0.750)
Cs (0.754, 0.246, 0.250)
Sm (0.500, 0.500, 0.000)
Sm (0.500, 0.500, 0.500)
Ag (0.036, 0.964, 0.250)
Ag (0.964, 0.036, 0.750)
Se (0.120, 0.880, 0.049)
Se (0.120, 0.880, 0.451)
Se (0.437, 0.563, 0.250)
Se (0.563, 0.437, 0.750)
Se (0.880, 0.120, 0.549)
Se (0.880, 0.120, 0.951)

***

No. 4
DFT (PBE) results for CsSm3Ag2Se6 after structural relaxation.

## Properties
formation energy from raw total energies: -1351 meV per atom
ρ: 5.6 g/cm3

Lattice parameters (Å, degrees): 10.486 10.486 9.054 109.84 109.84 23.72
Positions (direct):
Cs (0.000, 0.000, 0.000)
Sm (0.000, 0.000, 0.500)
Sm (0.330, 0.330, 0.166)
Sm (0.670, 0.670, 0.834)
Ag (0.225, 0.225, 0.381)
Ag (0.775, 0.775, 0.619)
Se (0.161, 0.161, 0.593)
Se (0.179, 0.179, 0.063)
Se (0.479, 0.479, 0.277)
Se (0.521, 0.521, 0.723)
Se (0.821, 0.821, 0.937)
Se (0.839, 0.839, 0.407)